Here is a relaxed structure of TaTlCl2 from Alexandria via LeMat-Bulk. Energies are from PBE.

Unit cell a=5.3979 b=5.3979 c=3.1335 alpha=90.00 beta=90.00 gamma=109.34
Site moments in Bohr magnetons follow the coordinates.
Fractional coordinates of all 4 atoms:
Cl1 0.0000 0.0000 0.0000  -0.02
Cl2 0.5000 0.5000 0.0000  -0.02
Tl1 0.0000 0.5000 0.5000  0.00
Ta1 0.5000 0.0000 0.5000  0.58

## Properties
Distance to the lowest polymorph of the same formula   888 meV/atom
Space group   Cmmm (65)
Total magnetic moment   0.8 Bohr magnetons per cell
Total DFT energy (no corrections)   -4.101 eV per atom